VASP calculation (PBE-GGA) on LuTlHgTe3 after structural relaxation.

The structure belongs to space group Pnma (No. 62); the cell edges are 11.683, 4.432 and 15.061 Å and the angles 90.00°, 90.00° and 90.00°. The asymmetric unit holds Lu at (0.020, 0.250, 0.240), Tl at (0.212, 0.750, 0.511), Hg at (0.243, 0.250, 0.712), Te at (0.028, 0.250, 0.623), Te at (0.062, 0.750, 0.103) and Te at (0.232, 0.750, 0.834).

The uncorrected energy is -3.4422 eV/atom. As for the total magnetization: 0.01 Bohr magnetons per cell. Its polymorph energy (0 for the lowest one) is 3 meV per atom.



VASP calculation (PBE-GGA) on PmMgO3 after structural relaxation.

The structure belongs to space group R-3 (No. 148, hexagonal axes); the cell edges are 5.6034, 5.6034 and 14.4875 Å and the angles 90.00°, 90.00° and 120.00°. The asymmetric unit holds Pm at (0.0000, 0.0000, 0.1317), Mg at (0.0000, 0.0000, 0.3501) and O at (0.0258, 0.6333, 0.9209).

The uncorrected energy is -6.7073 eV/atom. As for the total magnetization: 6.00 Bohr magnetons per cell.



VASP calculation (PBE-GGA) on HoNi2Bi4 after structural relaxation.

The structure belongs to space group P-42m (No. 111); the cell edges are 5.758, 5.758 and 6.130 Å and the angles 90.00°, 90.00° and 90.00°. The asymmetric unit holds Ho at (0.000, 0.000, 0.000), Ni at (0.000, 0.500, 0.000) and Bi at (0.314, 0.314, 0.276).

The uncorrected energy is -4.4203 eV/atom. As for the total magnetization: 0.01 Bohr magnetons per cell.



- What is the total magnetization in the first record?
  0.01 Bohr magnetons per cell



- Which value of total magnetization does entry 2 give?
  6.00 Bohr magnetons per cell



- What is the formula in the first record?
  LuTlHgTe3